# Ca2LaYHg4 | the Alexandria database | GGA-PBE | optimized geometry
data_Ca2LaYHg4
_symmetry_space_group_name_H-M 'R -3 m'
_symmetry_Int_Tables_number 166
_symmetry_space_group_name_Hall '-R 3 2"'
_cell_length_a 5.3650
_cell_length_b 5.3650
_cell_length_c 26.3902
_cell_angle_alpha 90.00
_cell_angle_beta 90.00
_cell_angle_gamma 120.00
loop_
_atom_site_label
_atom_site_type_symbol
_atom_site_fract_x
_atom_site_fract_y
_atom_site_fract_z
Ca1 Ca 0.0000 0.0000 0.2486
La1 La 0.0000 0.0000 0.0000
Y1 Y 0.0000 0.0000 0.5000
Hg1 Hg 0.0000 0.0000 0.1272
Hg2 Hg 0.0000 0.0000 0.3784
# Energy of formation from the pure elements: -0.545 eV/atom
# Energy: -2.6205 eV/atom
# M_tot: 0.00 μB per atom

---

# CaLaYHg | the Alexandria database | GGA-PBE | optimized geometry
data_CaLaYHg
_symmetry_space_group_name_H-M 'P 4 m m'
_symmetry_Int_Tables_number 99
_symmetry_space_group_name_Hall 'P 4 -2'
_cell_length_a 3.684
_cell_length_b 3.684
_cell_length_c 9.477
_cell_angle_alpha 90.00
_cell_angle_beta 90.00
_cell_angle_gamma 90.00
loop_
_atom_site_label
_atom_site_type_symbol
_atom_site_fract_x
_atom_site_fract_y
_atom_site_fract_z
Ca1 Ca 0.000 0.000 0.000
La1 La 0.500 0.500 0.322
Y1 Y 0.000 0.000 0.593
Hg1 Hg 0.500 0.500 0.788
# Energy of formation from the pure elements: -0.246 eV/atom
# Energy: -3.6694 eV/atom
# M_tot: 0.01 μB per atom